Entry 1:
Compound: ZrGa2BiO8
Source: Alexandria
Functional: PBE
Structure: optimized geometry

Cell: 5.851 5.851 5.851 Å, 108.91 108.91 110.60°
Fractional positions:
Zr 0.000 0.000 0.000
Ga 0.500 0.500 0.000
Ga 0.750 0.250 0.500
Bi 0.250 0.750 0.500
O 0.294 0.112 0.818
O 0.294 0.476 0.182
O 0.363 0.052 0.311
O 0.524 0.706 0.818
O 0.742 0.052 0.689
O 0.888 0.706 0.182
O 0.948 0.258 0.311
O 0.948 0.637 0.689

Results
electronic total energy = -6.50 eV/atom
crystal system = tetragonal

***

Entry 2:
Compound: ZrGaBiO5
Source: Alexandria
Functional: PBE
Structure: optimized geometry

Cell: 5.844 5.844 7.603 Å, 103.67 103.67 107.26°
Fractional positions:
Zr 0.000 0.000 0.000
Zr 0.000 0.000 0.500
Ga 0.323 0.677 0.750
Ga 0.677 0.323 0.250
Bi 0.329 0.671 0.250
Bi 0.671 0.329 0.750
O 0.089 0.911 0.250
O 0.093 0.676 0.884
O 0.268 0.370 0.575
O 0.324 0.907 0.616
O 0.370 0.268 0.075
O 0.630 0.732 0.925
O 0.676 0.093 0.384
O 0.732 0.630 0.425
O 0.907 0.324 0.116
O 0.911 0.089 0.750

Results
electronic total energy = -7.18 eV/atom
crystal system = monoclinic